[1]
Na2BiO3, single point on PBEsol structure, DFT SCAN; formation energy without anion corrections = -1399 meV/atom; final energy = -19.02 eV per atom; calculated volume = 167 Å³/cell; crystal system = monoclinic
1.0
2.965 -5.111 0.000
2.965 5.111 0.000
-2.011 0.000 5.525
Na Bi O
4 2 6
Direct
0.000 0.000 0.000
0.159 0.841 0.500
0.500 0.500 0.500
0.841 0.159 0.500
0.333 0.667 0.000
0.667 0.333 0.000
0.075 0.437 0.221
0.284 0.284 0.773
0.437 0.075 0.221
0.563 0.925 0.779
0.716 0.716 0.227
0.925 0.563 0.779

[2]
ZnClF2, single point on PBEsol structure, DFT SCAN; formation energy without anion corrections = -852 meV/atom; final energy = -8.00 eV per atom; calculated volume = 218 Å³/cell; crystal system = trigonal
1.0
2.971 0.000 0.000
-1.486 2.573 0.000
0.000 0.000 28.544
Zn Cl F
3 3 6
Direct
0.000 0.000 0.000
0.333 0.667 0.667
0.667 0.333 0.333
0.000 0.000 0.500
0.333 0.667 0.167
0.667 0.333 0.833
0.000 0.000 0.060
0.000 0.000 0.940
0.333 0.667 0.607
0.333 0.667 0.726
0.667 0.333 0.274
0.667 0.333 0.393

[3]
POsPb, single point on PBEsol structure, DFT SCAN; final energy = -52.41 eV per atom; calculated volume = 58 Å³/cell; energy relative to the elements = 0.27 eV per atom; crystal system = trigonal
1.0
3.306 0.000 0.000
-1.653 2.863 0.000
0.000 0.000 6.086
P Os Pb
1 1 1
Direct
0.000 0.000 0.000
0.667 0.333 0.209
0.333 0.667 0.582

[4]
CaCd2Pd2, single point on PBEsol structure, DFT SCAN; excess energy over the best structure of this formula in the dataset = 6 meV per atom; final energy = -27.68 eV per atom; calculated volume = 191 Å³/cell; energy relative to the elements = -0.47 eV per atom; crystal system = tetragonal
1.0
7.885 0.000 0.000
0.000 7.885 0.000
0.000 0.000 3.066
Ca Cd Pd
2 4 4
Direct
0.000 0.000 0.000
0.500 0.500 0.000
0.125 0.375 0.000
0.375 0.875 0.000
0.625 0.125 0.000
0.875 0.625 0.000
0.173 0.673 0.500
0.327 0.173 0.500
0.673 0.827 0.500
0.827 0.327 0.500

[5]
LiCrCu, single point on PBEsol structure, DFT SCAN; excess energy over the best structure of this formula in the dataset = 425 meV per atom; final energy = -11.29 eV per atom; calculated volume = 202 Å³/cell; energy relative to the elements = 0.70 eV per atom; crystal system = cubic
1.0
5.865 0.000 0.000
0.000 5.865 0.000
0.000 0.000 5.865
Li Cr Cu
4 4 4
Direct
0.000 0.000 0.000
0.000 0.500 0.500
0.500 0.000 0.500
0.500 0.500 0.000
0.250 0.250 0.250
0.250 0.750 0.750
0.750 0.250 0.750
0.750 0.750 0.250
0.000 0.000 0.500
0.000 0.500 0.000
0.500 0.000 0.000
0.500 0.500 0.500

[6]
KTlTc2, single point on PBEsol structure, DFT SCAN; excess energy over the best structure of this formula in the dataset = 0 meV per atom; final energy = -36.92 eV per atom; calculated volume = 216 Å³/cell; energy relative to the elements = 0.78 eV per atom; crystal system = monoclinic
1.0
10.104 0.000 0.000
0.000 3.528 0.000
-1.282 0.000 6.069
K Tl Tc
2 2 4
Direct
0.000 0.000 0.000
0.500 0.500 0.000
0.000 0.500 0.500
0.500 0.000 0.500
0.235 0.000 0.605
0.265 0.500 0.395
0.735 0.500 0.605
0.765 0.000 0.395

The highest final energy belongs to which entry?
ZnClF2

Among the records above, which one has the highest final energy?
ZnClF2